Compound: KZnTc
Source: the Alexandria database
Functional: PBE
Structure: optimized geometry

Output
ρ = 4.52 g/cm³
symmetry = No. 107
total magnetization = 1.89 μB/cell
E_form = 2.5 eV per formula unit

a = 6.6615 Å, b = 6.6615 Å, c = 6.6615 Å
α = 149.83°, β = 149.83°, γ = 43.19°
With the nearest neighbours (Å) after each atom.
Atoms (fractional coordinates):
Tc1 0.2767 0.2767 0.0000  4 Zn 2.54
Zn1 0.7225 0.7225 0.0000  4 Tc 2.54
K1 0.0008 0.0008 0.0000  5 Tc 3.42-3.70, 5 Zn 3.45-3.68, 4 K 3.47



Compound: Li2AlHg
Source: the Alexandria database
Functional: PBE
Structure: optimized geometry

Output
ρ = 5.40 g/cm³
symmetry = No. 160
total magnetization = 0.00 μB/cell
E_form = -0.5 eV per formula unit

a = 3.0580 Å, b = 3.0580 Å, c = 9.3428 Å
α = 80.58°, β = 80.58°, γ = 60.00°
With the nearest neighbours (Å) after each atom.
Atoms (fractional coordinates):
Li1 0.0848 0.0848 0.7457  3 Al 2.87, 3 Hg 2.93, 6 Li 3.06
Li2 0.2486 0.2486 0.2541  3 Al 2.86, 3 Hg 2.92, 6 Li 3.06
Hg1 0.6663 0.6663 0.0010  6 Li 2.92-2.93, 6 Hg 3.06
Al1 0.5003 0.5003 0.4992  6 Li 2.86-2.87, 6 Al 3.06



Compound: Zn2AgP2
Source: the Alexandria database
Functional: PBE
Structure: optimized geometry

Output
ρ = 5.91 g/cm³
symmetry = No. 127
total magnetization = 0.00 μB/cell
E_form = 1.2 eV per formula unit

a = 7.1157 Å, b = 7.1157 Å, c = 3.3393 Å
α = 90.00°, β = 90.00°, γ = 90.00°
With the nearest neighbours (Å) after each atom.
Atoms (fractional coordinates):
Zn1 0.8695 0.3695 0.5000  6 P 2.53-2.79, 1 Zn 2.63
Zn2 0.6305 0.8695 0.5000  6 P 2.53-2.79, 1 Zn 2.63
Zn3 0.3695 0.1305 0.5000  6 P 2.53-2.79, 1 Zn 2.63
Zn4 0.1305 0.6305 0.5000  6 P 2.53-2.79, 1 Zn 2.63
P1 0.8196 0.6804 0.0000  6 Zn 2.53-2.79, 2 Ag 2.61
P2 0.6804 0.1804 0.0000  6 Zn 2.53-2.79, 2 Ag 2.61
P3 0.1804 0.3196 0.0000  6 Zn 2.53-2.79, 2 Ag 2.61
P4 0.3196 0.8196 0.0000  6 Zn 2.53-2.79, 2 Ag 2.61
Ag1 0.5000 0.5000 0.0000  4 P 2.61
Ag2 0.0000 0.0000 0.0000  4 P 2.61



Compound: Pr3Pu2N4
Source: the Alexandria database
Functional: PBE
Structure: optimized geometry

Output
ρ = 10.11 g/cm³
E_form (uncorrected) = -0.916 eV per atom
symmetry = No. 12
total magnetization = 0.01 μB/cell

a = 3.6890 Å, b = 6.1941 Å, c = 8.9018 Å
α = 123.31°, β = 90.00°, γ = 107.32°
With the nearest neighbours (Å) after each atom.
Atoms (fractional coordinates):
Pr1 0.3727 0.7454 0.2148  5 N 2.58-2.67
Pr2 0.6273 0.2546 0.7852  5 N 2.58-2.67
Pr3 0.0000 0.0000 0.0000  6 N 2.46-2.62
N1 0.3082 0.6164 0.8735  1 Pu 2.28
N2 0.6918 0.3836 0.1265  1 Pu 2.28
N3 0.9378 0.8755 0.6844  3 Pu 2.35-2.41, 1 Pr 2.46
N4 0.0622 0.1245 0.3156  3 Pu 2.35-2.41, 1 Pr 2.46
Pu1 0.2804 0.5609 0.5977  4 N 2.28-2.41, 2 Pu 2.35
Pu2 0.7196 0.4391 0.4023  4 N 2.28-2.41, 2 Pu 2.35



Compound: YTi2Mo
Source: the Alexandria database
Functional: PBE
Structure: optimized geometry

Output
ρ = 5.83 g/cm³
symmetry = No. 123
total magnetization = 0.00 μB/cell
E_form = 0.2 eV per formula unit

a = 3.2878 Å, b = 3.2878 Å, c = 7.3973 Å
α = 90.00°, β = 90.00°, γ = 90.00°
With the nearest neighbours (Å) after each atom.
Atoms (fractional coordinates):
Ti1 0.0000 0.0000 0.1893  4 Mo 2.71, 1 Ti 2.80
Ti2 0.0000 0.0000 0.8107  4 Mo 2.71, 1 Ti 2.80
Y1 0.5000 0.5000 0.5000  8 Ti 3.27, 4 Y 3.29
Mo1 0.5000 0.5000 0.0000  8 Ti 2.71



Compound: Pr2In8Ag
Source: the Alexandria database
Functional: PBE
Structure: optimized geometry

Output
ρ = 7.56 g/cm³
symmetry = No. 123
total magnetization = 0.00 μB/cell
E_form = -3.7 eV per formula unit

a = 4.8112 Å, b = 4.8112 Å, c = 12.4187 Å
α = 90.00°, β = 90.00°, γ = 90.00°
With the nearest neighbours (Å) after each atom.
Atoms (fractional coordinates):
In1 0.5000 0.0000 0.5000  4 Pr 3.36, 8 In 3.37-3.40
In2 0.5000 0.0000 0.1286  2 Ag 2.89, 1 In 3.19
In3 0.0000 0.5000 0.1286  2 Ag 2.89, 1 In 3.19
In4 0.0000 0.5000 0.5000  4 Pr 3.36, 8 In 3.37-3.40
In5 0.5000 0.5000 0.3103  8 In 3.30-3.37, 4 Pr 3.40
In6 0.5000 0.0000 0.8714  2 Ag 2.89, 1 In 3.19
In7 0.5000 0.5000 0.6897  8 In 3.30-3.37, 4 Pr 3.40
In8 0.0000 0.5000 0.8714  2 Ag 2.89, 1 In 3.19
Ag1 0.0000 0.0000 0.0000  8 In 2.89
Pr1 0.0000 0.0000 0.3111  12 In 3.31-3.40
Pr2 0.0000 0.0000 0.6889  12 In 3.31-3.40